P:
4
Lattice="-2.949 -1.149 2.665 -2.987 2.661 1.055 -3.871 -0.601 -1.331" Properties=species:S:1:pos:R:3 comment="BHSe2, relaxed, DFT PBE" n_ef_per_ev_atom=0.36 crystal_system=cubic pbc="T T T"
H 0.000 0.000 0.000
B -4.903 0.455 1.195
Se -7.355 0.683 1.792
Se -2.452 0.228 0.597

=====

Q:
8
Lattice="-1.695 3.618 2.906 -0.339 -3.182 3.765 3.476 1.279 4.636" Properties=species:S:1:pos:R:3 comment="BHSe2, relaxed, DFT PBE" n_ef_per_ev_atom=0.00 crystal_system=tetragonal pbc="T T T"
H 1.060 -0.843 5.868
Se -0.251 2.222 3.477
B 0.000 0.000 0.000
Se 0.464 -1.256 3.844
Se 1.848 1.157 5.938
H -1.017 0.218 3.335
Se 0.823 1.306 9.355
B 0.382 2.558 5.439

=====

R:
16
Lattice="5.727 0.000 0.000 0.000 6.081 0.000 0.000 0.000 7.769" Properties=species:S:1:pos:R:3 comment="BHSe2, relaxed, DFT PBE" n_ef_per_ev_atom=0.00 crystal_system=orthorhombic pbc="T T T"
Se 3.628 3.704 1.229
Se 0.764 2.377 6.540
B 0.063 0.321 6.868
H 2.594 3.138 0.295
Se 0.873 5.772 0.834
B 2.927 2.720 2.983
H 5.457 2.942 7.474
Se 0.764 5.417 5.114
Se 3.736 0.309 6.935
Se 3.736 3.349 4.719
H 2.594 0.098 3.590
Se 0.873 2.732 3.050
Se 3.628 0.664 2.655
B 2.927 5.760 0.901
B 0.063 3.361 4.786
H 5.457 5.983 4.180

=====

S:
4
Lattice="2.255 0.000 6.116 -1.128 1.953 6.116 -1.128 -1.953 6.116" Properties=species:S:1:pos:R:3 comment="BHSe2, relaxed, DFT PBE" n_ef_per_ev_atom=0.47 crystal_system=trigonal pbc="T T T"
H 0.000 0.000 9.173
B 0.000 0.000 0.000
Se 0.000 0.000 16.525
Se 0.000 0.000 1.822

=====

R is the most stable structure; the next one sits 233 meV per atom above it.

=====

P:
5
Lattice="-1.880 -1.951 2.264 0.178 -2.742 -2.216 2.983 -1.066 1.558" Properties=species:S:1:pos:R:3 comment="B3HSe, relaxed, DFT PBE" n_ef_per_ev_atom=0.22 crystal_system=cubic pbc="T T T"
B -0.940 -0.975 1.132
B 1.491 -0.533 0.779
B 0.089 -1.371 -1.108
H 0.000 0.000 0.000
Se 0.641 -2.880 0.803

=====

Q:
5
Lattice="4.118 0.000 0.000 0.000 4.118 0.000 0.000 0.000 4.118" Properties=species:S:1:pos:R:3 comment="B3HSe, relaxed, DFT PBE" n_ef_per_ev_atom=0.58 crystal_system=cubic pbc="T T T"
B 0.000 2.059 0.000
B 2.059 0.000 0.000
H 2.059 2.059 2.059
B 0.000 0.000 2.059
Se 0.000 0.000 0.000

=====

P is the most stable structure; the next one sits 613 meV per atom above it.

=====

P:
8
Lattice="-2.031 -2.557 -1.094 2.586 -2.235 0.424 -1.549 -3.414 5.433" Properties=species:S:1:pos:R:3 comment="B2HSe, relaxed, DFT PBE" n_ef_per_ev_atom=0.26 crystal_system=tetragonal pbc="T T T"
H 0.657 -4.023 2.761
H 0.277 -2.396 -0.335
B -1.077 -6.408 3.423
Se 0.000 0.000 0.000
B -1.019 -2.335 0.897
B -0.553 -4.704 3.889
B 0.661 -2.966 1.317
Se -1.651 -4.184 2.002

=====

Q:
4
Lattice="0.000 2.661 2.661 2.661 0.000 2.661 2.661 2.661 0.000" Properties=species:S:1:pos:R:3 comment="B2HSe, relaxed, DFT PBE" n_ef_per_ev_atom=0.33 crystal_system=cubic pbc="T T T"
B 1.330 1.330 1.330
H 0.000 0.000 0.000
Se 2.661 2.661 2.661
B 3.991 3.991 3.991

=====

P is the most stable structure; the next one sits 901 meV per atom above it.

=====

P:
12
Lattice="5.808 0.000 0.000 0.000 2.989 0.000 0.000 0.000 5.916" Properties=species:S:1:pos:R:3 comment="SiBH, relaxed, DFT PBE" n_ef_per_ev_atom=0.10 crystal_system=orthorhombic pbc="T T T"
H 2.543 0.747 0.589
H 3.265 2.242 5.328
Si 4.784 2.242 4.401
B 0.498 2.242 0.121
H 0.361 2.242 3.547
H 5.447 0.747 2.369
Si 1.880 2.242 4.473
Si 3.928 0.747 1.443
Si 1.024 0.747 1.515
B 3.402 2.242 2.837
B 2.407 0.747 3.079
B 5.311 0.747 5.795

=====

Q:
6
Lattice="4.388 0.000 -0.011 0.000 2.668 0.000 -2.912 0.000 5.744" Properties=species:S:1:pos:R:3 comment="SiBH, relaxed, DFT PBE" n_ef_per_ev_atom=0.15 crystal_system=monoclinic pbc="T T T"
Si 1.483 1.334 4.553
H -1.181 1.334 5.309
H 0.275 0.000 2.437
B 1.474 0.000 3.022
Si 2.939 0.000 1.681
B 2.931 1.334 0.150

=====

R:
12
Lattice="-1.071 3.884 4.141 -3.006 0.228 -0.992 -1.458 -4.106 3.475" Properties=species:S:1:pos:R:3 comment="SiBH, relaxed, DFT PBE" n_ef_per_ev_atom=0.09 crystal_system=orthorhombic pbc="T T T"
B -4.266 -1.492 4.970
H -2.093 -0.710 3.641
B -1.269 1.499 1.654
H -3.068 -0.005 6.758
H -3.443 0.716 2.983
B -2.399 1.769 5.138
H -2.467 0.011 -0.135
Si -3.785 -2.599 3.258
Si -1.750 2.605 3.366
Si -1.610 -0.451 2.238
Si -3.925 0.457 4.386
B -3.137 -1.763 1.485

=====

S:
6
Lattice="-0.189 -2.241 -1.928 0.790 -3.099 1.251 -7.621 -2.356 1.349" Properties=species:S:1:pos:R:3 comment="SiBH, relaxed, DFT PBE" crystal_system=triclinic pbc="T T T"
B -3.714 -5.961 0.538
Si -4.814 -2.632 1.326
H -0.524 -2.755 1.049
Si -2.205 -5.065 -0.653
H -6.496 -4.941 -0.377
B -3.305 -1.735 0.135

=====

S is the most stable structure; the next one sits 153 meV per atom above it.

=====

P:
12
Lattice="5.725 0.000 -0.009 0.000 3.589 0.000 -4.540 0.000 5.642" Properties=species:S:1:pos:R:3 comment="SiBH, relaxed, DFT PBE" n_ef_per_ev_atom=0.05 crystal_system=monoclinic pbc="T T T"
Si 2.550 0.000 1.133
B 3.105 1.795 2.022
H 1.657 0.000 3.929
H -0.472 0.000 1.704
H -2.742 1.795 4.525
B -1.920 1.795 3.610
B 0.350 0.000 0.789
Si 0.281 1.795 3.954
Si 0.904 1.795 1.678
B 0.835 0.000 4.843
Si -1.366 0.000 4.499
H 3.927 1.795 1.108

=====

Q:
12
Lattice="2.997 0.000 0.000 0.000 9.496 0.000 0.000 0.000 4.406" Properties=species:S:1:pos:R:3 comment="SiBH, relaxed, DFT PBE" n_ef_per_ev_atom=0.05 crystal_system=orthorhombic pbc="T T T"
B 0.000 0.000 1.031
Si 1.499 2.871 3.101
B 0.000 4.748 3.234
Si 1.499 6.625 3.101
B 1.499 4.748 2.422
H 0.000 0.000 2.235
H 1.499 4.748 1.227
H 0.000 4.748 0.032
Si 1.499 7.619 0.898
H 1.499 0.000 3.430
Si 1.499 1.877 0.898
B 1.499 0.000 0.219

=====

R:
3
Lattice="2.308 0.000 0.000 1.153 3.293 0.000 1.123 -0.154 5.332" Properties=species:S:1:pos:R:3 comment="SiBH, relaxed, DFT PBE" n_ef_per_ev_atom=0.00 crystal_system=triclinic pbc="T T T"
Si 2.362 -0.007 3.030
H 1.208 1.503 0.829
B 1.208 1.505 2.030

=====

S:
6
Lattice="2.672 0.000 -0.045 0.000 3.922 0.000 -1.686 0.000 5.208" Properties=species:S:1:pos:R:3 comment="SiBH, relaxed, DFT PBE" n_ef_per_ev_atom=0.21 crystal_system=monoclinic pbc="T T T"
H 0.528 0.000 5.132
Si 0.259 1.961 0.499
H 1.371 1.961 2.528
B -0.936 1.961 3.772
B -0.092 0.000 1.168
Si -0.584 0.000 3.103

=====

P is the most stable structure; the next one sits 35 meV per atom above it.

=====

P:
6
Lattice="3.423 0.000 0.000 -0.712 4.284 0.001 -0.939 -1.829 4.396" Properties=species:S:1:pos:R:3 comment="SiBH, relaxed, DFT PBE" n_ef_per_ev_atom=0.01 crystal_system=triclinic pbc="T T T"
Si -0.158 -1.370 4.328
H 1.501 1.558 4.365
H 2.064 3.002 1.699
Si 0.638 0.496 2.363
B 0.798 2.187 3.482
B 2.304 -0.685 2.650

=====

Q:
12
Lattice="-2.344 -0.391 -2.609 -1.828 -4.929 2.381 -3.854 2.892 3.029" Properties=species:S:1:pos:R:3 comment="SiBH, relaxed, DFT PBE" n_ef_per_ev_atom=0.05 crystal_system=orthorhombic pbc="T T T"
H -4.693 -2.986 1.083
B -5.242 0.042 1.123
Si -2.644 -3.656 1.730
B -5.119 -2.125 3.725
Si -6.296 -1.236 2.261
B -1.870 -0.005 0.487
H -4.247 -1.906 2.908
Si -3.674 -0.808 -0.159
Si -3.438 0.845 1.769
H -1.505 -1.153 0.331
B -3.821 -2.767 0.267
H -5.607 1.190 1.279

=====

Q is the most stable structure; the next one sits 76 meV per atom above it.